w.
4
Lattice="-0.566 -0.788 -2.856 -0.742 -2.778 0.912 -8.525 2.597 0.974" Properties=species:S:1:pos:R:3 comment="SrTcAg2 (PBE, optimized geometry)" sg="No. 99" n_ef_per_ev_atom=0.93 pbc="T T T"
Ag -8.471 2.581 0.967
Ag -2.506 -1.218 -0.760
Sr -4.339 1.322 0.495
Tc -7.306 0.244 -0.212

=====

x.
4
Lattice="-3.838 -2.262 2.214 -1.589 -4.409 -1.670 0.756 -4.105 2.707" Properties=species:S:1:pos:R:3 comment="SrTcAg2 (PBE, optimized geometry)" sg="No. 216" n_ef_per_ev_atom=0.65 pbc="T T T"
Tc -3.503 -8.082 2.438
Ag 0.000 0.000 0.000
Ag -1.168 -2.694 0.813
Sr -2.336 -5.388 1.625

=====

y.
4
Lattice="-1.015 0.141 -10.261 -2.792 -2.240 -9.670 -3.921 0.567 -9.520" Properties=species:S:1:pos:R:3 comment="SrTcAg2 (PBE, optimized geometry)" sg="No. 166" n_ef_per_ev_atom=1.12 pbc="T T T"
Sr -1.932 -0.383 -7.363
Ag -0.068 -0.013 -0.259
Ag -3.796 -0.753 -14.467
Tc -5.796 -1.149 -22.088

=====

z.
4
Lattice="-2.601 0.660 2.282 -0.465 -3.460 0.470 4.731 0.093 5.366" Properties=species:S:1:pos:R:3 comment="SrTcAg2 (PBE, optimized geometry)" sg="No. 123" n_ef_per_ev_atom=0.84 pbc="T T T"
Tc 2.015 -1.330 5.401
Ag 2.607 0.051 2.957
Ag 4.489 0.088 5.092
Sr -0.350 -1.377 2.718

=====

So which one is most stable? That would be z, about 59 meV/atom below the next structure.

=====

w.
4
Lattice="2.912 0.000 0.000 0.000 4.384 0.000 0.000 0.000 6.586" Properties=species:S:1:pos:R:3 comment="SrTcAg2 (PBE, optimized geometry)" sg="No. 25" n_ef_per_ev_atom=0.93 pbc="T T T"
Sr 0.000 0.000 3.328
Tc 1.456 2.192 5.237
Ag 0.000 0.000 6.494
Ag 1.456 2.192 1.404

=====

x.
8
Lattice="4.912 0.000 0.000 0.000 4.912 0.000 2.456 2.456 9.374" Properties=species:S:1:pos:R:3 comment="SrTcAg2 (PBE, optimized geometry)" sg="No. 122" n_ef_per_ev_atom=1.33 pbc="T T T"
Ag 6.141 1.886 7.031
Ag 3.684 3.026 7.031
Ag 4.343 1.228 2.344
Ag 5.482 3.684 2.344
Tc 4.912 2.456 4.687
Tc 0.000 0.000 0.000
Sr 2.456 4.912 4.687
Sr 2.456 2.456 0.000

=====

y.
4
Lattice="-4.639 -1.569 -2.020 -3.416 -3.944 -0.911 -3.192 0.583 4.767" Properties=species:S:1:pos:R:3 comment="SrTcAg2 (PBE, optimized geometry)" sg="No. 12" n_ef_per_ev_atom=0.73 pbc="T T T"
Tc -2.812 -1.232 0.459
Sr -8.435 -3.697 1.377
Ag -5.597 -2.574 0.655
Ag -8.081 -5.404 -2.669

=====

z.
4
Lattice="5.527 0.010 0.000 2.073 5.123 0.000 -3.800 -2.566 3.085" Properties=species:S:1:pos:R:3 comment="SrTcAg2 (PBE, optimized geometry)" sg="No. 119" n_ef_per_ev_atom=1.00 pbc="T T T"
Sr 3.800 2.566 0.000
Tc 2.763 0.005 1.543
Ag 0.000 0.000 0.000
Ag 1.037 2.562 1.543

=====

So which one is most stable? That would be y, about 18 meV/atom below the next structure.

=====

w.
5
Lattice="-3.088 -0.775 -4.075 -2.149 -4.046 2.398 -3.548 3.126 2.094" Properties=species:S:1:pos:R:3 comment="SrTcAg3 (PBE, optimized geometry)" sg="No. 221" n_ef_per_ev_atom=0.59 pbc="T T T"
Ag -1.774 1.563 1.047
Ag -1.075 -2.023 1.199
Ag -1.544 -0.387 -2.038
Tc 0.000 0.000 0.000
Sr -4.393 -0.848 0.208

=====

x.
5
Lattice="-3.155 2.707 3.669 -4.455 -2.777 -1.782 0.968 -3.962 3.755" Properties=species:S:1:pos:R:3 comment="SrTcAg3 (PBE, optimized geometry)" sg="No. 221" n_ef_per_ev_atom=1.13 pbc="T T T"
Ag 0.484 -1.981 1.878
Ag -1.577 1.353 1.835
Ag -2.228 -1.389 -0.891
Sr 0.000 0.000 0.000
Tc -3.321 -2.017 2.821

=====

So which one is most stable? That would be w, about 1072 meV/atom below the next structure.

=====

w.
5
Lattice="5.053 0.000 0.000 0.000 5.053 0.000 0.000 0.000 5.053" Properties=species:S:1:pos:R:3 comment="SrTc3Ag (PBE, optimized geometry)" sg="No. 221" n_ef_per_ev_atom=1.31 pbc="T T T"
Tc 0.000 2.526 0.000
Tc 2.526 0.000 0.000
Tc 0.000 0.000 2.526
Ag 0.000 0.000 0.000
Sr 2.526 2.526 2.526

=====

x.
5
Lattice="4.797 0.000 0.000 0.000 4.797 0.000 0.000 0.000 4.797" Properties=species:S:1:pos:R:3 comment="SrTc3Ag (PBE, optimized geometry)" sg="No. 221" n_ef_per_ev_atom=1.25 pbc="T T T"
Ag 2.398 2.398 2.398
Tc 0.000 0.000 2.398
Tc 0.000 2.398 0.000
Tc 2.398 0.000 0.000
Sr 0.000 0.000 0.000

=====

So which one is most stable? That would be w, about 962 meV/atom below the next structure.

=====

w.
5
Lattice="5.510 0.000 0.000 0.000 5.510 0.000 0.000 0.000 5.510" Properties=species:S:1:pos:R:3 comment="SrAgTe3 (PBE, optimized geometry)" sg="No. 221" n_ef_per_ev_atom=0.84 pbc="T T T"
Sr 2.755 2.755 2.755
Ag 0.000 0.000 0.000
Te 2.755 0.000 0.000
Te 0.000 2.755 0.000
Te 0.000 0.000 2.755

=====

x.
5
Lattice="6.132 0.000 0.000 0.000 6.132 0.000 0.000 0.000 6.132" Properties=species:S:1:pos:R:3 comment="SrAgTe3 (PBE, optimized geometry)" sg="No. 221" n_ef_per_ev_atom=1.41 pbc="T T T"
Sr 0.000 0.000 0.000
Te 3.066 0.000 0.000
Te 0.000 0.000 3.066
Te 0.000 3.066 0.000
Ag 3.066 3.066 3.066

=====

So which one is most stable? That would be w, about 710 meV/atom below the next structure.

=====

w.
10
Lattice="-7.067 3.408 -2.805 1.605 -2.947 -7.626 -1.539 -2.624 0.690" Properties=species:S:1:pos:R:3 comment="SrTi2Ag2 (PBE, optimized geometry)" sg="No. 127" n_ef_per_ev_atom=0.63 pbc="T T T"
Ag -1.221 -1.303 -7.678
Ag -5.141 1.111 -7.242
Ag -4.240 1.764 -2.753
Ag -0.320 -0.651 -3.189
Sr -2.731 0.230 -5.215
Sr 0.000 0.000 0.000
Ti -6.167 0.549 -4.617
Ti -4.074 -1.547 -7.918
Ti -0.834 -2.713 -5.123
Ti -2.927 -0.616 -1.822

=====

x.
10
Lattice="8.340 0.000 0.000 0.000 8.340 0.000 0.000 0.000 3.091" Properties=species:S:1:pos:R:3 comment="SrTi2Ag2 (PBE, optimized geometry)" sg="No. 127" n_ef_per_ev_atom=0.73 pbc="T T T"
Ag 5.689 6.821 1.546
Ag 6.821 2.651 1.546
Ag 2.651 1.519 1.546
Ag 1.519 5.689 1.546
Sr 0.000 0.000 0.000
Sr 4.170 4.170 0.000
Ti 5.071 0.901 0.000
Ti 7.439 5.071 0.000
Ti 0.901 3.269 0.000
Ti 3.269 7.439 0.000

=====

So which one is most stable? That would be x, about 136 meV/atom below the next structure.